[1]
## NaTl2SiO4 (PBE)

Data for a relaxed structure of NaTl2SiO4.

## Properties
crystal system	orthorhombic
total moment	8.2	μB per cell

abc: 5.6508 11.0911 20.6694
angles: 90.00 90.00 90.00
With the nearest neighbours (Å) after each atom.
Space group Fddd (No. 70, origin choice 2)
Asymmetric unit:
Na (0.1250, 0.1250, 0.1250) x8  4 O 2.26
Tl (0.1250, 0.1250, 0.3131) x16  4 O 2.74-3.00
Si (0.1250, 0.1250, 0.6250) x8  4 O 1.66
O (0.0518, 0.2804, 0.8360) x32  1 Si 1.66


[2]
## NaTmSi2O6 (PBE)

Data for a relaxed structure of NaTmSi2O6.

## Properties
crystal system	monoclinic
total moment	0.0	μB per cell

abc: 10.2041 9.5224 5.4657
angles: 90.00 107.28 90.00
With the nearest neighbours (Å) after each atom.
Space group C2/c (No. 15)
Asymmetric unit:
Na (0.0000, 0.1915, 0.2500) x4  6 O 2.41-2.64
Tm (0.0000, 0.3889, 0.7500) x4  6 O 2.14-2.33
Si (0.2096, 0.0839, 0.7444) x8  4 O 1.61-1.68
O (0.1221, 0.4217, 0.1566) x8  1 Si 1.64
O (0.1394, 0.2365, 0.6839) x8  1 Si 1.61
O (0.1534, 0.0060, 0.9691) x8  2 Si 1.67-1.68


[3]
## NaTmSiO4 (PBE)

Data for a relaxed structure of NaTmSiO4.

## Properties
crystal system	monoclinic
total moment	0.0	μB per cell

abc: 5.6296 5.5320 6.8318
angles: 90.00 92.38 90.00
With the nearest neighbours (Å) after each atom.
Space group P2_1/m (No. 11)
Asymmetric unit:
Na (0.1118, 0.2500, 0.3707) x2  2 O 2.26-2.30
Tm (0.3037, 0.2500, 0.9353) x2  6 O 2.25-2.33
Si (0.1962, 0.7500, 0.1586) x2  4 O 1.64-1.66
O (0.0221, 0.2500, 0.6902) x2  1 Si 1.64
O (0.0664, 0.7500, 0.9387) x2  1 Si 1.64
O (0.3829, 0.5185, 0.1762) x4  1 Si 1.66


[4]
## Na2USiO6 (PBE)

Data for a relaxed structure of Na2USiO6.

## Properties
crystal system	tetragonal
total moment	0.0	μB per cell

abc: 5.3436 5.3436 4.3923
angles: 90.00 90.00 90.00
With the nearest neighbours (Å) after each atom.
Space group P4mm (No. 99)
Asymmetric unit:
Na (0.0000, 0.5000, 0.0000) x2  8 O 2.68-2.71
U (0.0000, 0.0000, 0.5439) x1  6 O 2.04-2.23
Si (0.5000, 0.5000, 0.4639) x1  5 O 1.61-1.79
O (0.0000, 0.0000, 0.0513) x1  2 U 2.16-2.23
O (0.2700, 0.2700, 0.5607) x4  1 Si 1.79
O (0.5000, 0.5000, 0.0962) x1  1 Si 1.61


[5]
## NaUSiO5 (PBE)

Data for a relaxed structure of NaUSiO5.

## Properties
crystal system	monoclinic
total moment	4.0	μB per cell

abc: 7.2498 9.0716 7.8823
angles: 90.00 115.28 90.00
With the nearest neighbours (Å) after each atom.
Space group C2/c (No. 15)
Asymmetric unit:
Na (0.0000, 0.1640, 0.2500) x4  3 O 2.30-2.44
U (0.0000, 0.5000, 0.0000) x4  6 O 2.11-2.19
Si (0.0000, 0.1753, 0.7500) x4  4 O 1.65
O (0.0000, 0.4178, 0.2500) x4  2 U 2.11, 1 Na 2.30
O (0.0844, 0.2807, 0.6270) x8  1 Si 1.65
O (0.1808, 0.0636, 0.8900) x8  1 Si 1.65


[6]
## NaUSi2O8 (PBE)

Data for a relaxed structure of NaUSi2O8.

## Properties
crystal system	tetragonal
total moment	2.1	μB per cell

abc: 6.8957 6.8957 6.1507
angles: 90.00 90.00 90.00
With the nearest neighbours (Å) after each atom.
Space group I-4m2 (No. 119)
Asymmetric unit:
Na (0.0000, 0.0000, 0.0000) x2  8 O 2.27-2.52
U (0.0000, 0.5000, 0.2500) x2  8 O 2.17-2.33
Si (0.0000, 0.0000, 0.5000) x2  4 O 1.65
Si (0.0000, 0.5000, 0.7500) x2  4 O 1.64
O (0.0000, 0.1965, 0.3460) x8  1 Si 1.65
O (0.0000, 0.3229, 0.9274) x8  1 Si 1.64


[7]
## NaUSiO6 (PBE)

Data for a relaxed structure of NaUSiO6.

## Properties
crystal system	trigonal
total moment	1.1	μB per cell

abc: 5.1998 5.1998 10.2257
angles: 90.00 90.00 120.00
With the nearest neighbours (Å) after each atom.
Space group P-31c (No. 163)
Asymmetric unit:
Na (0.0000, 0.0000, 0.0000) x2  6 O 2.47
U (0.3333, 0.6667, 0.2500) x2  6 O 2.08
Si (0.3333, 0.6667, 0.7500) x2  6 O 1.80
O (0.0394, 0.3886, 0.6506) x12  1 Si 1.80


Energy relative to the elements, uncorrected, record by record: -1.353 -2.934 -2.880 -2.494 -2.850 -2.429 -2.374 eV per atom